ZnTcOs (meta-GGA SCAN, single point on PBEsol structure); energy of formation from the pure elements = 0.05 eV per atom; ΔE to the lowest computed polymorph = 0.054 eV per atom; V = 82.2 Å³/cell
1.0
2.785 0.000 0.000
0.000 3.640 0.000
0.000 0.000 8.111
Zn Tc Os
2 2 2
direct
0.000 0.000 0.000 Zn
0.500 0.500 0.500 Zn
0.000 0.000 0.673 Tc
0.500 0.500 0.173 Tc
0.000 0.000 0.328 Os
0.500 0.500 0.828 Os